[1]
A plane-wave DFT calculation with GGA-PBE was carried out for crystalline Nb2RuPt6 at its relaxed geometry.

a = 6.3693 Å, b = 6.3693 Å, c = 6.3166 Å
α = 107.88°, β = 107.88°, γ = 35.97°
Last column: nearest neighbours and their distance in Å.
Sites, in units of the cell vectors:
Nb 0.0578 0.0578 0.3185  9 Pt 2.68-2.88, 2 Ru 2.74
Nb 0.9422 0.9422 0.6815  9 Pt 2.68-2.88, 2 Ru 2.74
Ru 0.5000 0.5000 0.0000  4 Nb 2.74, 8 Pt 2.78-2.81
Pt 0.1642 0.1642 0.0061  2 Nb 2.68-2.81, 2 Ru 2.79, 8 Pt 2.79-2.95
Pt 0.2819 0.2819 0.6630  3 Nb 2.74-2.88, 8 Pt 2.77-2.95, 1 Ru 2.81
Pt 0.3966 0.3966 0.3332  7 Pt 2.70-2.93, 1 Ru 2.78, 4 Nb 2.79-2.87
Pt 0.6034 0.6034 0.6668  7 Pt 2.70-2.93, 1 Ru 2.78, 4 Nb 2.79-2.87
Pt 0.7181 0.7181 0.3370  3 Nb 2.74-2.88, 8 Pt 2.77-2.95, 1 Ru 2.81
Pt 0.8358 0.8358 0.9939  2 Nb 2.68-2.81, 2 Ru 2.79, 8 Pt 2.79-2.95

Properties
Formation energy from the elements (eV/atom): -0.53

---

[2]
A plane-wave DFT calculation with GGA-PBE was carried out for crystalline ScNbRu2Pt at its relaxed geometry.

a = 4.5337 Å, b = 4.5337 Å, c = 4.6504 Å
α = 90.00°, β = 90.00°, γ = 90.00°
Last column: nearest neighbours and their distance in Å.
Sites, in units of the cell vectors:
Sc 0.0000 0.0000 0.0000  4 Ru 2.27, 2 Pt 2.33
Nb 0.5000 0.5000 0.5000  4 Pt 3.21, 8 Ru 3.25
Ru 0.0000 0.5000 0.0000  2 Sc 2.27
Ru 0.5000 0.0000 0.0000  2 Sc 2.27
Pt 0.0000 0.0000 0.5000  2 Sc 2.33

Properties
Formation energy from the elements (eV/atom): 1.10

---

[3]
A plane-wave DFT calculation with GGA-PBE was carried out for crystalline NbSnRu2Pt at its relaxed geometry.

a = 4.6339 Å, b = 4.6339 Å, c = 5.2515 Å
α = 90.00°, β = 90.00°, γ = 90.00°
Last column: nearest neighbours and their distance in Å.
Sites, in units of the cell vectors:
Nb 0.0000 0.0000 0.0000  4 Ru 2.32
Sn 0.0000 0.0000 0.5000  2 Nb 2.63
Ru 0.0000 0.5000 0.0000  2 Nb 2.32
Ru 0.5000 0.0000 0.0000  2 Nb 2.32
Pt 0.5000 0.5000 0.5000  4 Sn 3.28, 8 Ru 3.50

Properties
Formation energy from the elements (eV/atom): 1.43

---

[4]
A plane-wave DFT calculation with GGA-PBE was carried out for crystalline Nb2TeRuPt at its relaxed geometry.

a = 4.7555 Å, b = 4.7555 Å, c = 4.9779 Å
α = 90.00°, β = 90.00°, γ = 90.00°
Last column: nearest neighbours and their distance in Å.
Sites, in units of the cell vectors:
Nb 0.0000 0.5000 0.0000  2 Ru 2.38
Nb 0.5000 0.0000 0.0000  2 Ru 2.38
Te 0.0000 0.0000 0.5000  4 Pt 3.36, 8 Nb 3.44
Ru 0.5000 0.5000 0.0000  4 Nb 2.38, 2 Pt 2.49
Pt 0.5000 0.5000 0.5000  2 Ru 2.49

Properties
Formation energy without anion corrections (eV/atom): 0.846

---

[5]
A plane-wave DFT calculation with GGA-PBE was carried out for crystalline TiNbRuPt at its relaxed geometry.

a = 4.4669 Å, b = 4.4669 Å, c = 4.4669 Å
α = 60.00°, β = 60.00°, γ = 60.00°
Last column: nearest neighbours and their distance in Å.
Sites, in units of the cell vectors:
Ti 0.0000 0.0000 0.0000  4 Nb 2.74, 4 Pt 2.74
Nb 0.7500 0.7500 0.7500  4 Ru 2.74, 4 Ti 2.74
Ru 0.5000 0.5000 0.5000  4 Nb 2.74, 4 Pt 2.74
Pt 0.2500 0.2500 0.2500  4 Ru 2.74, 4 Ti 2.74

Properties
Formation energy from the elements (eV/atom): -0.35

---

[6]
A plane-wave DFT calculation with GGA-PBE was carried out for crystalline Nb2TlRuPt at its relaxed geometry.

a = 5.0397 Å, b = 5.0397 Å, c = 4.8229 Å
α = 90.00°, β = 90.00°, γ = 90.00°
Last column: nearest neighbours and their distance in Å.
Sites, in units of the cell vectors:
Nb 0.0000 0.5000 0.0000  2 Tl 2.52
Nb 0.5000 0.0000 0.0000  2 Tl 2.52
Tl 0.0000 0.0000 0.0000  2 Pt 2.41, 4 Nb 2.52
Ru 0.5000 0.5000 0.5000  8 Nb 3.49, 4 Pt 3.56
Pt 0.0000 0.0000 0.5000  2 Tl 2.41

Properties
Formation energy from the elements (eV/atom): 2.27

---

[7]
A plane-wave DFT calculation with GGA-PBE was carried out for crystalline YNb2RuPt at its relaxed geometry.

a = 4.6990 Å, b = 4.6990 Å, c = 5.1697 Å
α = 90.00°, β = 90.00°, γ = 90.00°
Last column: nearest neighbours and their distance in Å.
Sites, in units of the cell vectors:
Y 0.0000 0.0000 0.0000  4 Pt 3.32, 8 Nb 3.49
Nb 0.0000 0.5000 0.5000  2 Ru 2.35
Nb 0.5000 0.0000 0.5000  2 Ru 2.35
Ru 0.5000 0.5000 0.5000  4 Nb 2.35, 2 Pt 2.58
Pt 0.5000 0.5000 0.0000  2 Ru 2.58

Properties
Formation energy from the elements (eV/atom): 0.48

---

[8]
A plane-wave DFT calculation with GGA-PBE was carried out for crystalline Nb2Pt4S at its relaxed geometry.

a = 7.6018 Å, b = 7.6018 Å, c = 7.6018 Å
α = 146.39°, β = 146.39°, γ = 48.26°
Last column: nearest neighbours and their distance in Å.
Sites, in units of the cell vectors:
Nb 0.1499 0.1499 0.0000  1 Pt 2.40
Nb 0.8501 0.8501 0.0000  1 Pt 2.40
Pt 0.0000 0.5000 0.5000  2 S 2.20
Pt 0.3230 0.3230 0.0000  1 Nb 2.40, 1 S 2.46
Pt 0.5000 0.0000 0.5000  2 S 2.20
Pt 0.6770 0.6770 0.0000  1 Nb 2.40, 1 S 2.46
S 0.5000 0.5000 0.0000  6 Pt 2.20-2.46

Properties
Formation energy without anion corrections (eV/atom): 0.352

---

[9]
A plane-wave DFT calculation with GGA-PBE was carried out for crystalline NbPtS at its relaxed geometry.

a = 6.3490 Å, b = 6.3490 Å, c = 8.5364 Å
α = 131.83°, β = 131.83°, γ = 27.46°
Last column: nearest neighbours and their distance in Å.
Sites, in units of the cell vectors:
Nb 0.0920 0.0920 0.2680  3 S 2.41-2.55, 1 Pt 2.49
Nb 0.9080 0.9080 0.7320  3 S 2.41-2.55, 1 Pt 2.49
Pt 0.1816 0.1816 0.0495  2 Nb 2.49-2.74, 1 S 2.66
Pt 0.8184 0.8184 0.9505  2 Nb 2.49-2.74, 1 S 2.66
S 0.3690 0.3690 0.4772  3 Nb 2.41-2.55, 1 Pt 2.66
S 0.6310 0.6310 0.5228  3 Nb 2.41-2.55, 1 Pt 2.66

Properties
Formation energy without anion corrections (eV/atom): -0.376

---

[10]
A plane-wave DFT calculation with GGA-PBE was carried out for crystalline Nb2PtS at its relaxed geometry.

a = 5.6884 Å, b = 5.6884 Å, c = 5.6884 Å
α = 105.93°, β = 105.93°, γ = 116.81°
Last column: nearest neighbours and their distance in Å.
Sites, in units of the cell vectors:
Nb 0.0942 0.6250 0.9692  2 S 2.40, 2 Pt 2.68
Nb 0.3750 0.3442 0.4692  2 S 2.40, 2 Pt 2.68
Nb 0.6558 0.1250 0.0308  2 S 2.40, 2 Pt 2.68
Nb 0.8750 0.9058 0.5308  2 S 2.40, 2 Pt 2.68
Pt 0.2500 0.7500 0.5000  4 Nb 2.68, 2 S 2.98
Pt 0.5000 0.5000 0.0000  4 Nb 2.68, 2 S 2.98
S 0.0000 0.0000 0.0000  4 Nb 2.40
S 0.7500 0.2500 0.5000  4 Nb 2.40

Properties
Formation energy without anion corrections (eV/atom): -0.308

---

[11]
A plane-wave DFT calculation with GGA-PBE was carried out for crystalline Nb3PtS6 at its relaxed geometry.

a = 7.8575 Å, b = 7.8575 Å, c = 6.0123 Å
α = 90.00°, β = 90.00°, γ = 102.81°
Last column: nearest neighbours and their distance in Å.
Sites, in units of the cell vectors:
Nb 0.0966 0.9034 0.5000  7 S 2.50-2.70
Nb 0.2350 0.4618 0.4119  7 S 2.47-2.76
Nb 0.4618 0.2350 0.9119  7 S 2.47-2.76
Nb 0.5382 0.7650 0.4119  7 S 2.47-2.76
Nb 0.7650 0.5382 0.9119  7 S 2.47-2.76
Nb 0.9034 0.0966 0.0000  7 S 2.50-2.70
Pt 0.2830 0.7170 0.7811  4 S 2.32-2.56
Pt 0.7170 0.2830 0.2811  4 S 2.32-2.56
S 0.0139 0.5930 0.6265  1 Pt 2.32, 3 Nb 2.50-2.57
S 0.1412 0.1966 0.7085  4 Nb 2.55-2.76
S 0.1966 0.1412 0.2085  4 Nb 2.55-2.76
S 0.2625 0.7375 0.2045  3 Nb 2.47-2.70, 1 Pt 2.56
S 0.4070 0.9861 0.6265  1 Pt 2.32, 3 Nb 2.50-2.57
S 0.4747 0.5253 0.7160  1 Pt 2.39, 4 Nb 2.55-2.59
S 0.5253 0.4747 0.2160  1 Pt 2.39, 4 Nb 2.55-2.59
S 0.5930 0.0139 0.1265  1 Pt 2.32, 3 Nb 2.50-2.57
S 0.7375 0.2625 0.7045  3 Nb 2.47-2.70, 1 Pt 2.56
S 0.8034 0.8588 0.7085  4 Nb 2.55-2.76
S 0.8588 0.8034 0.2085  4 Nb 2.55-2.76
S 0.9861 0.4070 0.1265  1 Pt 2.32, 3 Nb 2.50-2.57

Properties
Formation energy without anion corrections (eV/atom): -0.681

---

[12]
A plane-wave DFT calculation with GGA-PBE was carried out for crystalline Nb2Sb2Pt at its relaxed geometry.

a = 7.4536 Å, b = 7.4536 Å, c = 3.6282 Å
α = 90.00°, β = 90.00°, γ = 90.00°
Last column: nearest neighbours and their distance in Å.
Sites, in units of the cell vectors:
Nb 0.1390 0.3610 0.0000  6 Sb 2.81-2.86, 1 Nb 2.93
Nb 0.3610 0.8610 0.0000  6 Sb 2.81-2.86, 1 Nb 2.93
Nb 0.6390 0.1390 0.0000  6 Sb 2.81-2.86, 1 Nb 2.93
Nb 0.8610 0.6390 0.0000  6 Sb 2.81-2.86, 1 Nb 2.93
Sb 0.1569 0.6569 0.5000  2 Pt 2.81, 6 Nb 2.81-2.86
Sb 0.3431 0.1569 0.5000  2 Pt 2.81, 6 Nb 2.81-2.86
Sb 0.6569 0.8431 0.5000  2 Pt 2.81, 6 Nb 2.81-2.86
Sb 0.8431 0.3431 0.5000  2 Pt 2.81, 6 Nb 2.81-2.86
Pt 0.0000 0.0000 0.5000  4 Sb 2.81
Pt 0.5000 0.5000 0.5000  4 Sb 2.81

Properties
Formation energy without anion corrections (eV/atom): 0.027
Polymorph energy (0 for the lowest one) (eV per formula unit): 0.00

---

no.,N(E_F) (states/eV per atom),final energy (eV for the cell shown)
1,0.70,-70.44
2,0.95,-35.49
3,1.08,-31.54
4,0.97,-34.37
5,1.83,-34.66
6,1.20,-26.49
7,1.13,-39.50
8,0.90,-45.96
9,0.60,-42.73
10,0.62,-63.08
11,0.51,-135.65
12,0.45,-68.58